## a
The following is a PBE-GGA calculation of a geometry-optimized Rb2TeS3 structure, from Alexandria via LeMat-Bulk.

Structure (CIF):
```
data_Rb2TeS3
_chemical_formula_sum 'Rb8 Te4 S12'
_cell_length_a 12.889
_cell_length_b 6.569
_cell_length_c 11.421
_cell_angle_alpha 90.00
_cell_angle_beta 122.28
_cell_angle_gamma 90.00
_symmetry_space_group_name_H-M 'C 1 2/c 1'
_symmetry_Int_Tables_number 15
loop_
_symmetry_equiv_pos_as_xyz
'x,y,z'
'-x,-y,-z'
'-x,y,-z+1/2'
'x,-y,z+1/2'
'x+1/2,y+1/2,z'
'-x+1/2,-y+1/2,-z'
'-x+1/2,y+1/2,-z+1/2'
'x+1/2,-y+1/2,z+1/2'
loop_
_atom_site_label
_atom_site_type_symbol
_atom_site_fract_x
_atom_site_fract_y
_atom_site_fract_z
_atom_site_occupancy
Rb1 Rb 0.180 0.160 0.105 1
Te1 Te 0.000 0.391 0.250 1
S1 S 0.000 0.242 0.750 1
S2 S 0.187 0.324 0.518 1
```

## Properties
- total magnetic moment (μB/f.u.) = 0.00

=====

## b
The following is a PBE-GGA calculation of a geometry-optimized Rb2TeS3 structure, from Alexandria via LeMat-Bulk.

Structure (CIF):
```
data_Rb2TeS3
_chemical_formula_sum 'Rb8 Te4 S12'
_cell_length_a 5.084
_cell_length_b 22.369
_cell_length_c 7.351
_cell_angle_alpha 90.00
_cell_angle_beta 90.00
_cell_angle_gamma 90.00
_symmetry_space_group_name_H-M 'C m c m'
_symmetry_Int_Tables_number 63
_symmetry_space_group_name_Hall '-C 2c 2'
loop_
_atom_site_label
_atom_site_type_symbol
_atom_site_fract_x
_atom_site_fract_y
_atom_site_fract_z
_atom_site_occupancy
Rb1 Rb 0.000 0.028 0.250 1
Rb2 Rb 0.000 0.170 0.750 1
Te1 Te 0.000 0.344 0.750 1
S1 S 0.000 0.186 0.250 1
S2 S 0.000 0.409 0.005 1
```

## Properties
- total magnetic moment (μB/f.u.) = 0.00

=====

Energy relative to the most stable one, in kJ/mol of atoms: a 2.1; b 0.0

=====

## a
The following is a PBE-GGA calculation of a geometry-optimized RbTe2S2 structure, from Alexandria via LeMat-Bulk.

Structure (CIF):
```
data_RbTe2S2
_chemical_formula_sum 'Rb2 Te4 S4'
_cell_length_a 9.311
_cell_length_b 9.311
_cell_length_c 3.525
_cell_angle_alpha 90.00
_cell_angle_beta 90.00
_cell_angle_gamma 90.00
_symmetry_space_group_name_H-M 'P 4/m b m'
_symmetry_Int_Tables_number 127
_symmetry_space_group_name_Hall '-P 4 2ab'
loop_
_atom_site_label
_atom_site_type_symbol
_atom_site_fract_x
_atom_site_fract_y
_atom_site_fract_z
_atom_site_occupancy
Rb1 Rb 0.000 0.000 0.000 1
Te1 Te 0.122 0.378 0.000 1
S1 S 0.235 0.735 0.500 1
```

## Properties
- DOS at the Fermi energy (states/eV/atom) = 0.704
- total magnetic moment (μB/f.u.) = 0.00

=====

## b
The following is a PBE-GGA calculation of a geometry-optimized RbTe2S2 structure, from Alexandria via LeMat-Bulk.

Structure (CIF):
```
data_RbTe2S2
_chemical_formula_sum 'Rb2 Te4 S4'
_cell_length_a 9.423
_cell_length_b 9.423
_cell_length_c 4.246
_cell_angle_alpha 90.00
_cell_angle_beta 90.00
_cell_angle_gamma 90.00
_symmetry_space_group_name_H-M 'P 4/m b m'
_symmetry_Int_Tables_number 127
_symmetry_space_group_name_Hall '-P 4 2ab'
loop_
_atom_site_label
_atom_site_type_symbol
_atom_site_fract_x
_atom_site_fract_y
_atom_site_fract_z
_atom_site_occupancy
Rb1 Rb 0.000 0.000 0.000 1
Te1 Te 0.199 0.301 0.500 1
S1 S 0.200 0.700 0.000 1
```

## Properties
- DOS at the Fermi energy (states/eV/atom) = 0.926
- total magnetic moment (μB/f.u.) = 0.00

=====

Energy relative to the most stable one, in kJ/mol of atoms: a 9.8; b 0.0

=====

## a
The following is a PBE-GGA calculation of a geometry-optimized RbTe3S structure, from Alexandria via LeMat-Bulk.

Structure (CIF):
```
data_RbTe3S
_chemical_formula_sum 'Rb1 Te3 S1'
_cell_length_a 5.469
_cell_length_b 5.469
_cell_length_c 5.469
_cell_angle_alpha 90.00
_cell_angle_beta 90.00
_cell_angle_gamma 90.00
_symmetry_space_group_name_H-M 'P m -3 m'
_symmetry_Int_Tables_number 221
_symmetry_space_group_name_Hall '-P 4 2 3'
loop_
_atom_site_label
_atom_site_type_symbol
_atom_site_fract_x
_atom_site_fract_y
_atom_site_fract_z
_atom_site_occupancy
Rb1 Rb 0.000 0.000 0.000 1
Te1 Te 0.000 0.500 0.500 1
S1 S 0.500 0.500 0.500 1
```

## Properties
- DOS at the Fermi energy (states/eV/atom) = 0.691
- total magnetic moment (μB/f.u.) = 0.00

=====

## b
The following is a PBE-GGA calculation of a geometry-optimized RbTe3S structure, from Alexandria via LeMat-Bulk.

Structure (CIF):
```
data_RbTe3S
_chemical_formula_sum 'Rb1 Te3 S1'
_cell_length_a 6.860
_cell_length_b 6.860
_cell_length_c 6.860
_cell_angle_alpha 90.00
_cell_angle_beta 90.00
_cell_angle_gamma 90.00
_symmetry_space_group_name_H-M 'P m -3 m'
_symmetry_Int_Tables_number 221
_symmetry_space_group_name_Hall '-P 4 2 3'
loop_
_atom_site_label
_atom_site_type_symbol
_atom_site_fract_x
_atom_site_fract_y
_atom_site_fract_z
_atom_site_occupancy
Rb1 Rb 0.000 0.000 0.000 1
Te1 Te 0.000 0.000 0.500 1
S1 S 0.500 0.500 0.500 1
```

## Properties
- DOS at the Fermi energy (states/eV/atom) = 2.116
- total magnetic moment (μB/f.u.) = 7.00

=====

Energy relative to the most stable one, in kJ/mol of atoms: a 0.0; b 128.3

=====

## a
The following is a PBE-GGA calculation of a geometry-optimized RbTe2S4 structure, from Alexandria via LeMat-Bulk.

Structure (CIF):
```
data_RbTe2S4
_chemical_formula_sum 'Rb2 Te4 S8'
_cell_length_a 7.176
_cell_length_b 7.648
_cell_length_c 10.440
_cell_angle_alpha 111.12
_cell_angle_beta 90.67
_cell_angle_gamma 98.98
_symmetry_space_group_name_H-M 'P -1'
_symmetry_Int_Tables_number 2
loop_
_symmetry_equiv_pos_as_xyz
'x,y,z'
'-x,-y,-z'
loop_
_atom_site_label
_atom_site_type_symbol
_atom_site_fract_x
_atom_site_fract_y
_atom_site_fract_z
_atom_site_occupancy
Rb1 Rb 0.128 0.328 0.250 1
Te1 Te 0.262 0.055 0.570 1
Te2 Te 0.446 0.762 0.044 1
S1 S 0.054 0.765 0.472 1
S2 S 0.265 0.042 0.940 1
S3 S 0.419 0.111 0.389 1
S4 S 0.424 0.513 0.832 1
```

## Properties
- DOS at the Fermi energy (states/eV/atom) = 0.191
- total magnetic moment (μB/f.u.) = 0.00

=====

## b
The following is a PBE-GGA calculation of a geometry-optimized RbTe2S4 structure, from Alexandria via LeMat-Bulk.

Structure (CIF):
```
data_RbTe2S4
_chemical_formula_sum 'Rb4 Te8 S16'
_cell_length_a 7.698
_cell_length_b 12.624
_cell_length_c 11.394
_cell_angle_alpha 90.00
_cell_angle_beta 90.00
_cell_angle_gamma 90.00
_symmetry_space_group_name_H-M 'C c c m'
_symmetry_Int_Tables_number 66
_symmetry_space_group_name_Hall '-C 2 2c'
loop_
_atom_site_label
_atom_site_type_symbol
_atom_site_fract_x
_atom_site_fract_y
_atom_site_fract_z
_atom_site_occupancy
Rb1 Rb 0.000 0.000 0.250 1
Te1 Te 0.006 0.284 0.000 1
S1 S 0.137 0.122 0.500 1
S2 S 0.250 0.250 0.148 1
```

## Properties
- DOS at the Fermi energy (states/eV/atom) = 0.503
- total magnetic moment (μB/f.u.) = 0.00

=====

Energy relative to the most stable one, in kJ/mol of atoms: a 0.0; b 7.0

=====

## a
The following is a PBE-GGA calculation of a geometry-optimized Rb2Th2S5 structure, from Alexandria via LeMat-Bulk.

Structure (CIF):
```
data_Rb2Th2S5
_chemical_formula_sum 'Rb4 Th4 S10'
_cell_length_a 14.566
_cell_length_b 5.489
_cell_length_c 8.497
_cell_angle_alpha 90.00
_cell_angle_beta 123.08
_cell_angle_gamma 90.00
_symmetry_space_group_name_H-M 'C 1 2/m 1'
_symmetry_Int_Tables_number 12
loop_
_symmetry_equiv_pos_as_xyz
'x,y,z'
'-x,-y,-z'
'-x,y,-z'
'x,-y,z'
'x+1/2,y+1/2,z'
'-x+1/2,-y+1/2,-z'
'-x+1/2,y+1/2,-z'
'x+1/2,-y+1/2,z'
loop_
_atom_site_label
_atom_site_type_symbol
_atom_site_fract_x
_atom_site_fract_y
_atom_site_fract_z
_atom_site_occupancy
Rb1 Rb 0.130 0.000 0.468 1
Th1 Th 0.105 0.500 0.894 1
S1 S 0.000 0.500 0.500 1
S2 S 0.113 0.500 0.220 1
S3 S 0.156 0.000 0.908 1
```

## Properties
- DOS at the Fermi energy (states/eV/atom) = 0.000
- total magnetic moment (μB/f.u.) = 0.00

=====

## b
The following is a PBE-GGA calculation of a geometry-optimized Rb2Th2S5 structure, from Alexandria via LeMat-Bulk.

Structure (CIF):
```
data_Rb2Th2S5
_chemical_formula_sum 'Rb8 Th8 S20'
_cell_length_a 16.177
_cell_length_b 7.915
_cell_length_c 7.922
_cell_angle_alpha 90.00
_cell_angle_beta 90.00
_cell_angle_gamma 90.00
_symmetry_space_group_name_H-M 'C m c e'
_symmetry_Int_Tables_number 64
_symmetry_space_group_name_Hall '-C 2ac 2'
loop_
_atom_site_label
_atom_site_type_symbol
_atom_site_fract_x
_atom_site_fract_y
_atom_site_fract_z
_atom_site_occupancy
Rb1 Rb 0.206 0.000 0.000 1
Th1 Th 0.000 0.165 0.334 1
S1 S 0.000 0.000 0.000 1
S2 S 0.108 0.143 0.643 1
```

## Properties
- total magnetic moment (μB/f.u.) = 0.00

=====

Energy relative to the most stable one, in kJ/mol of atoms: a 3.7; b 0.0

=====

## a
The following is a PBE-GGA calculation of a geometry-optimized Rb5TiS4 structure, from Alexandria via LeMat-Bulk.

Structure (CIF):
```
data_Rb5TiS4
_chemical_formula_sum 'Rb10 Ti2 S8'
_cell_length_a 19.666
_cell_length_b 4.156
_cell_length_c 8.852
_cell_angle_alpha 90.00
_cell_angle_beta 98.39
_cell_angle_gamma 90.00
_symmetry_space_group_name_H-M 'C 1 2/m 1'
_symmetry_Int_Tables_number 12
loop_
_symmetry_equiv_pos_as_xyz
'x,y,z'
'-x,-y,-z'
'-x,y,-z'
'x,-y,z'
'x+1/2,y+1/2,z'
'-x+1/2,-y+1/2,-z'
'-x+1/2,y+1/2,-z'
'x+1/2,-y+1/2,z'
loop_
_atom_site_label
_atom_site_type_symbol
_atom_site_fract_x
_atom_site_fract_y
_atom_site_fract_z
_atom_site_occupancy
Rb1 Rb 0.000 0.000 0.000 1
Rb2 Rb 0.151 0.500 0.813 1
Rb3 Rb 0.169 0.500 0.334 1
Ti1 Ti 0.000 0.000 0.500 1
S1 S 0.006 0.500 0.308 1
S2 S 0.124 0.000 0.556 1
```

## Properties
- DOS at the Fermi energy (states/eV/atom) = 0.287
- total magnetic moment (μB/f.u.) = 0.40

=====

## b
The following is a PBE-GGA calculation of a geometry-optimized Rb5TiS4 structure, from Alexandria via LeMat-Bulk.

Structure (CIF):
```
data_Rb5TiS4
_chemical_formula_sum 'Rb10 Ti2 S8'
_cell_length_a 9.623
_cell_length_b 10.398
_cell_length_c 7.739
_cell_angle_alpha 90.00
_cell_angle_beta 90.00
_cell_angle_gamma 90.00
_symmetry_space_group_name_H-M 'P m m n'
_symmetry_Int_Tables_number 59
loop_
_symmetry_equiv_pos_as_xyz
'x,y,z'
'-x,-y,-z'
'-x+1/2,-y+1/2,z'
'x+1/2,y+1/2,-z'
'x+1/2,-y,-z'
'-x+1/2,y,z'
'-x,y+1/2,-z'
'x,-y+1/2,z'
loop_
_atom_site_label
_atom_site_type_symbol
_atom_site_fract_x
_atom_site_fract_y
_atom_site_fract_z
_atom_site_occupancy
Rb1 Rb 0.000 0.062 0.233 1
Rb2 Rb 0.250 0.250 0.653 1
Ti1 Ti 0.250 0.750 0.305 1
S1 S 0.052 0.750 0.133 1
S2 S 0.250 0.565 0.472 1
```

## Properties
- DOS at the Fermi energy (states/eV/atom) = 0.391
- total magnetic moment (μB/f.u.) = 0.74

=====

Energy relative to the most stable one, in kJ/mol of atoms: a 22.6; b 0.0

=====

## a
The following is a PBE-GGA calculation of a geometry-optimized Rb4TiS4 structure, from Alexandria via LeMat-Bulk.

Structure (CIF):
```
data_Rb4TiS4
_chemical_formula_sum 'Rb8 Ti2 S8'
_cell_length_a 9.237
_cell_length_b 9.237
_cell_length_c 7.185
_cell_angle_alpha 90.00
_cell_angle_beta 90.00
_cell_angle_gamma 90.00
_symmetry_space_group_name_H-M 'P 42/n m c'
_symmetry_Int_Tables_number 137
loop_
_symmetry_equiv_pos_as_xyz
'x,y,z'
'-x,-y,-z'
'-y+1/2,x,z+1/2'
'y+1/2,-x,-z+1/2'
'-x+1/2,-y+1/2,z'
'x+1/2,y+1/2,-z'
'y,-x+1/2,z+1/2'
'-y,x+1/2,-z+1/2'
'x+1/2,-y,-z'
'-x+1/2,y,z'
'-y,-x,-z+1/2'
'y,x,z+1/2'
'-x,y+1/2,-z'
'x,-y+1/2,z'
'y+1/2,x+1/2,-z+1/2'
'-y+1/2,-x+1/2,z+1/2'
loop_
_atom_site_label
_atom_site_type_symbol
_atom_site_fract_x
_atom_site_fract_y
_atom_site_fract_z
_atom_site_occupancy
Rb1 Rb 0.028 0.250 0.103 1
Ti1 Ti 0.250 0.750 0.250 1
S1 S 0.046 0.750 0.430 1
```

## Properties
- DOS at the Fermi energy (states/eV/atom) = 0.000
- total magnetic moment (μB/f.u.) = 0.00

=====

## b
The following is a PBE-GGA calculation of a geometry-optimized Rb4TiS4 structure, from Alexandria via LeMat-Bulk.

Structure (CIF):
```
data_Rb4TiS4
_chemical_formula_sum 'Rb8 Ti2 S8'
_cell_length_a 7.800
_cell_length_b 7.800
_cell_length_c 13.227
_cell_angle_alpha 90.00
_cell_angle_beta 90.00
_cell_angle_gamma 90.00
_symmetry_space_group_name_H-M 'I -4 2 m'
_symmetry_Int_Tables_number 121
_symmetry_space_group_name_Hall 'I -4 2'
loop_
_atom_site_label
_atom_site_type_symbol
_atom_site_fract_x
_atom_site_fract_y
_atom_site_fract_z
_atom_site_occupancy
Rb1 Rb 0.000 0.000 0.203 1
Rb2 Rb 0.000 0.500 0.000 1
Ti1 Ti 0.000 0.000 0.500 1
S1 S 0.170 0.170 0.601 1
```

## Properties
- DOS at the Fermi energy (states/eV/atom) = 0.000
- total magnetic moment (μB/f.u.) = 0.00

=====

Energy relative to the most stable one, in kJ/mol of atoms: a 0.0; b 7.8

=====

## a
The following is a PBE-GGA calculation of a geometry-optimized Rb3TiS4 structure, from Alexandria via LeMat-Bulk.

Structure (CIF):
```
data_Rb3TiS4
_chemical_formula_sum 'Rb6 Ti2 S8'
_cell_length_a 7.892
_cell_length_b 7.892
_cell_length_c 8.810
_cell_angle_alpha 90.00
_cell_angle_beta 90.00
_cell_angle_gamma 90.00
_symmetry_space_group_name_H-M 'I 4/m m m'
_symmetry_Int_Tables_number 139
_symmetry_space_group_name_Hall '-I 4 2'
loop_
_atom_site_label
_atom_site_type_symbol
_atom_site_fract_x
_atom_site_fract_y
_atom_site_fract_z
_atom_site_occupancy
Rb1 Rb 0.000 0.000 0.000 1
Rb2 Rb 0.000 0.500 0.250 1
Ti1 Ti 0.000 0.000 0.500 1
S1 S 0.207 0.207 0.500 1
```

## Properties
- DOS at the Fermi energy (states/eV/atom) = 0.340
- total magnetic moment (μB/f.u.) = 0.87

=====

## b
The following is a PBE-GGA calculation of a geometry-optimized Rb3TiS4 structure, from Alexandria via LeMat-Bulk.

Structure (CIF):
```
data_Rb3TiS4
_chemical_formula_sum 'Rb6 Ti2 S8'
_cell_length_a 5.593
_cell_length_b 13.454
_cell_length_c 7.222
_cell_angle_alpha 90.00
_cell_angle_beta 90.00
_cell_angle_gamma 90.00
_symmetry_space_group_name_H-M 'I m m 2'
_symmetry_Int_Tables_number 44
loop_
_symmetry_equiv_pos_as_xyz
'x,y,z'
'-x,-y,z'
'-x,y,z'
'x,-y,z'
'x+1/2,y+1/2,z+1/2'
'-x+1/2,-y+1/2,z+1/2'
'-x+1/2,y+1/2,z+1/2'
'x+1/2,-y+1/2,z+1/2'
loop_
_atom_site_label
_atom_site_type_symbol
_atom_site_fract_x
_atom_site_fract_y
_atom_site_fract_z
_atom_site_occupancy
Rb1 Rb 0.000 0.000 0.000 1
Rb2 Rb 0.000 0.286 0.222 1
Ti1 Ti 0.000 0.500 0.842 1
S1 S 0.000 0.359 0.669 1
S2 S 0.228 0.000 0.576 1
```

## Properties
- DOS at the Fermi energy (states/eV/atom) = 0.193
- total magnetic moment (μB/f.u.) = 0.00

=====

Energy relative to the most stable one, in kJ/mol of atoms: a 25.6; b 0.0